# 1
Compound: Rb2Cd2PbS4
Source: Alexandria via LeMat-Bulk
Functional: GGA-PBE
Structure: optimized geometry

Calculated values
- final energy (eV per atom) = -3.46
- theoretical density (Mg/m³) = 4.60

Geometry as CIF:
```
data_Rb2Cd2PbS4
_chemical_formula_sum 'Rb4 Cd4 Pb2 S8'
_cell_length_a 16.335
_cell_length_b 4.283
_cell_length_c 7.996
_cell_angle_alpha 90.00
_cell_angle_beta 109.39
_cell_angle_gamma 90.00
_space_group_name_H-M_alt 'C 1 2/m 1'
_space_group_IT_number 12
loop_
_space_group_symop_operation_xyz
'x,y,z'
'-x,-y,-z'
'-x,y,-z'
'x,-y,z'
'x+1/2,y+1/2,z'
'-x+1/2,-y+1/2,-z'
'-x+1/2,y+1/2,-z'
'x+1/2,-y+1/2,z'
loop_
_atom_site_label
_atom_site_type_symbol
_atom_site_fract_x
_atom_site_fract_y
_atom_site_fract_z
Rb1 Rb 0.124 0.000 0.037
Cd1 Cd 0.169 0.500 0.481
Pb1 Pb 0.000 0.000 0.500
S1 S 0.021 0.500 0.255
S2 S 0.208 0.000 0.680
```

=====

# 2
Compound: RbCd2PbS
Source: Alexandria via LeMat-Bulk
Functional: GGA-PBE
Structure: optimized geometry

Calculated values
- final energy (eV per atom) = -2.03
- theoretical density (Mg/m³) = 5.25

Geometry as CIF:
```
data_RbCd2PbS
_chemical_formula_sum 'Rb1 Cd2 Pb1 S1'
_cell_length_a 5.421
_cell_length_b 5.421
_cell_length_c 5.911
_cell_angle_alpha 90.00
_cell_angle_beta 90.00
_cell_angle_gamma 90.00
_space_group_name_H-M_alt 'P 4/m m m'
_space_group_IT_number 123
_space_group_name_Hall '-P 4 2'
loop_
_atom_site_label
_atom_site_type_symbol
_atom_site_fract_x
_atom_site_fract_y
_atom_site_fract_z
Rb1 Rb 0.000 0.000 0.000
Cd1 Cd 0.000 0.500 0.500
Pb1 Pb 0.500 0.500 0.000
S1 S 0.500 0.500 0.500
```

=====

# 3
Compound: RbCdSbPb
Source: Alexandria via LeMat-Bulk
Functional: GGA-PBE
Structure: optimized geometry

Calculated values
- final energy (eV per atom) = -2.60
- theoretical density (Mg/m³) = 5.71

Geometry as CIF:
```
data_RbCdSbPb
_chemical_formula_sum 'Rb2 Cd2 Sb2 Pb2'
_cell_length_a 4.567
_cell_length_b 4.567
_cell_length_c 14.686
_cell_angle_alpha 90.00
_cell_angle_beta 90.00
_cell_angle_gamma 90.00
_space_group_name_H-M_alt 'P 4/n m m'
_space_group_IT_number 129
loop_
_space_group_symop_operation_xyz
'x,y,z'
'-x,-y,-z'
'-y+1/2,x,z'
'y+1/2,-x,-z'
'-x+1/2,-y+1/2,z'
'x+1/2,y+1/2,-z'
'y,-x+1/2,z'
'-y,x+1/2,-z'
'x+1/2,-y,-z'
'-x+1/2,y,z'
'-y,-x,-z'
'y,x,z'
'-x,y+1/2,-z'
'x,-y+1/2,z'
'y+1/2,x+1/2,-z'
'-y+1/2,-x+1/2,z'
loop_
_atom_site_label
_atom_site_type_symbol
_atom_site_fract_x
_atom_site_fract_y
_atom_site_fract_z
Rb1 Rb 0.250 0.250 0.249
Cd1 Cd 0.250 0.750 0.500
Sb1 Sb 0.250 0.250 0.627
Pb1 Pb 0.250 0.750 0.000
```

=====

# 4
Compound: Rb2Cd4Sb3Pb
Source: Alexandria via LeMat-Bulk
Functional: GGA-PBE
Structure: optimized geometry

Calculated values
- final energy (eV per atom) = -2.41
- theoretical density (Mg/m³) = 6.14

Geometry as CIF:
```
data_Rb2Cd4Sb3Pb
_chemical_formula_sum 'Rb2 Cd4 Sb3 Pb1'
_cell_length_a 5.152
_cell_length_b 5.152
_cell_length_c 12.162
_cell_angle_alpha 90.00
_cell_angle_beta 90.00
_cell_angle_gamma 90.00
_space_group_name_H-M_alt 'P -4 m 2'
_space_group_IT_number 115
loop_
_space_group_symop_operation_xyz
'x,y,z'
'y,-x,-z'
'-x,-y,z'
'-y,x,-z'
'-x,y,z'
'-y,-x,-z'
'x,-y,z'
'y,x,-z'
loop_
_atom_site_label
_atom_site_type_symbol
_atom_site_fract_x
_atom_site_fract_y
_atom_site_fract_z
Rb1 Rb 0.000 0.500 0.245
Cd1 Cd 0.000 0.000 0.000
Cd2 Cd 0.000 0.500 0.636
Cd3 Cd 0.500 0.500 0.000
Sb1 Sb 0.000 0.500 0.873
Sb2 Sb 0.500 0.500 0.500
Pb1 Pb 0.000 0.000 0.500
```

=====

# 5
Compound: RbCdSb2Pb
Source: Alexandria via LeMat-Bulk
Functional: GGA-PBE
Structure: optimized geometry

Calculated values
- final energy (eV per atom) = -2.96
- energy above the most stable polymorph in this dataset (kJ/mol of formula units) = 0
- theoretical density (Mg/m³) = 5.87

Geometry as CIF:
```
data_RbCdSb2Pb
_chemical_formula_sum 'Rb2 Cd2 Sb4 Pb2'
_cell_length_a 5.097
_cell_length_b 5.097
_cell_length_c 14.134
_cell_angle_alpha 90.00
_cell_angle_beta 90.00
_cell_angle_gamma 90.00
_space_group_name_H-M_alt 'I -4 m 2'
_space_group_IT_number 119
_space_group_name_Hall 'I -4 -2'
loop_
_atom_site_label
_atom_site_type_symbol
_atom_site_fract_x
_atom_site_fract_y
_atom_site_fract_z
Rb1 Rb 0.000 0.000 0.000
Cd1 Cd 0.000 0.500 0.750
Sb1 Sb 0.000 0.000 0.371
Pb1 Pb 0.000 0.500 0.250
```

=====

# 6
Compound: Rb2Cd4SbPb3
Source: Alexandria via LeMat-Bulk
Functional: GGA-PBE
Structure: optimized geometry

Calculated values
- final energy (eV per atom) = -2.20
- theoretical density (Mg/m³) = 6.86

Geometry as CIF:
```
data_Rb2Cd4SbPb3
_chemical_formula_sum 'Rb2 Cd4 Sb1 Pb3'
_cell_length_a 5.012
_cell_length_b 5.012
_cell_length_c 13.135
_cell_angle_alpha 90.00
_cell_angle_beta 90.00
_cell_angle_gamma 90.00
_space_group_name_H-M_alt 'P -4 m 2'
_space_group_IT_number 115
loop_
_space_group_symop_operation_xyz
'x,y,z'
'y,-x,-z'
'-x,-y,z'
'-y,x,-z'
'-x,y,z'
'-y,-x,-z'
'x,-y,z'
'y,x,-z'
loop_
_atom_site_label
_atom_site_type_symbol
_atom_site_fract_x
_atom_site_fract_y
_atom_site_fract_z
Rb1 Rb 0.000 0.500 0.249
Cd1 Cd 0.000 0.000 0.000
Cd2 Cd 0.000 0.500 0.642
Cd3 Cd 0.500 0.500 0.000
Sb1 Sb 0.000 0.000 0.500
Pb1 Pb 0.000 0.500 0.868
Pb2 Pb 0.500 0.500 0.500
```